Record 1
Compound: NaAsCl5
Source: Alexandria
Functional: PBE
Structure: optimized geometry

Computed properties:
The calculation puts the volume at 29.04 Å³/atom. Its space group is No. 14. As for the uncorrected energy: -84.057 eV for the cell shown. For the uncorrected formation energy, the calculation gives -0.830 eV/atom.

Cell: 7.4512 10.1162 12.1204 Å, 90.00 90.00 117.11°
Sites, in units of the cell vectors:
Na  0.9768  0.0654  0.2542
Na  0.5232  0.4346  0.7542
Na  0.4768  0.5654  0.2458
Na  0.0232  0.9346  0.7458
Cl  0.8715  0.7626  0.3338
Cl  0.2117  0.3282  0.3845
Cl  0.6835  0.0845  0.8995
Cl  0.3715  0.2626  0.1662
Cl  0.3165  0.9155  0.1005
Cl  0.6998  0.2641  0.6498
Cl  0.7117  0.8282  0.1155
Cl  0.7641  0.0652  0.4572
Cl  0.2359  0.9348  0.5428
Cl  0.2641  0.5652  0.0428
Cl  0.7883  0.6718  0.6155
Cl  0.3002  0.7359  0.3502
Cl  0.7359  0.4348  0.9572
Cl  0.6285  0.7374  0.8338
Cl  0.8002  0.2359  0.1498
Cl  0.1835  0.5845  0.6005
Cl  0.8165  0.4155  0.3995
Cl  0.2883  0.1718  0.8845
Cl  0.1285  0.2374  0.6662
Cl  0.1998  0.7641  0.8502
As  0.9462  0.2964  0.5223
As  0.5538  0.2036  0.0223
As  0.4462  0.7964  0.9777
As  0.0538  0.7036  0.4777

Record 2
Compound: Sc4SnRuRh2
Source: Alexandria
Functional: PBE
Structure: optimized geometry

Computed properties:
The calculation puts the volume at 18.17 Å³/atom. Its space group is No. 166. The formation energy comes out at -6.24 eV/f.u. As for the uncorrected energy: -59.545 eV for the cell shown.

Cell: 4.6557 4.6557 8.1983 Å, 73.50 73.50 60.00°
Sites, in units of the cell vectors:
Sc  0.3843  0.3843  0.8471
Sc  0.8694  0.8694  0.3918
Sc  0.6157  0.6157  0.1529
Sc  0.1306  0.1306  0.6082
Rh  0.7513  0.7513  0.7462
Rh  0.2487  0.2487  0.2538
Ru  0.5000  0.5000  0.5000
Sn  0.0000  0.0000  0.0000

Record 3
Compound: Ho2ZrCdN
Source: Alexandria
Functional: PBE
Structure: optimized geometry

Computed properties:
The calculation puts the volume at 20.77 Å³/atom. Its space group is No. 123. As for the uncorrected energy: -31.049 eV for the cell shown. For the uncorrected formation energy, the calculation gives -0.821 eV/atom.

Cell: 4.5622 4.7716 4.7716 Å, 90.00 90.00 90.00°
Sites, in units of the cell vectors:
Zr  0.5000  0.0000  0.0000
Ho  0.0000  0.0000  0.5000
Ho  0.0000  0.5000  0.0000
Cd  0.5000  0.5000  0.5000
N  0.0000  0.0000  0.0000